Record 1
DFT (GGA-PBE) results for a relaxed structure of AcPrErTm.

Cell: 3.687 3.685 12.146 Å, 90.01 98.68 119.97°
Fractional positions:
Ac 0.962 0.380 0.358
Pr 0.480 0.137 0.632
Er 0.306 0.551 0.874
Tm 0.129 0.963 0.105

Symmetry: No. 8
Crystal system: monoclinic
Total magnetic moment: 0.00 μB/f.u.
Volume: 35.2 Å³ per atom
ΔE to the lowest computed polymorph: 0.000 eV per formula unit



Record 2
DFT (GGA-PBE) results for a relaxed structure of Zr2GaB.

Cell: 4.551 4.551 4.551 Å, 60.00 60.00 60.00°
Fractional positions:
B 0.000 0.000 0.000
Ga 0.500 0.500 0.500
Zr 0.250 0.250 0.250
Zr 0.750 0.750 0.750

Symmetry: No. 225
Crystal system: cubic
Total magnetic moment: 0.00 μB/f.u.
Volume: 16.7 Å³ per atom
ΔE to the lowest computed polymorph: 2.146 eV per formula unit



Record 3
DFT (GGA-PBE) results for a relaxed structure of BaIn2Se.

Cell: 7.385 7.385 6.541 Å, 47.28 47.28 35.57°
Fractional positions:
Ba 0.789 0.789 0.830
In 0.987 0.987 0.999
In 0.254 0.254 0.339
Se 0.470 0.470 0.332

Symmetry: No. 8
Crystal system: monoclinic
VASP energy: -13.6 eV for the cell shown
Total magnetic moment: 0.00 μB/f.u.
Volume: 36.4 Å³ per atom